1.
The following is a DFT calculation (PBE) of KGaHg3 after structural relaxation.

abc: 7.355 9.082 9.082
angles: 76.71 77.71 77.71
Element x y z (fractional)
1 Hg 0.918 0.338 0.027
2 Hg 0.591 0.328 0.324
3 K 0.750 0.656 0.344
4 Hg 0.909 0.676 0.672
5 Ga 0.806 0.230 0.574
6 Hg 0.091 0.324 0.328
7 Ga 0.306 0.574 0.230
8 K 0.250 0.974 0.026
9 Hg 0.582 0.973 0.662
10 Hg 0.418 0.027 0.338
11 Hg 0.409 0.672 0.676
12 Hg 0.390 0.335 0.010
13 K 0.250 0.344 0.656
14 Ga 0.194 0.770 0.426
15 Hg 0.082 0.662 0.973
16 Hg 0.110 0.990 0.665
17 K 0.750 0.026 0.974
18 Ga 0.694 0.426 0.770
19 Hg 0.610 0.665 0.990
20 Hg 0.890 0.010 0.335

Volume, Å³/cell: 568.3
Polymorph energy (0 for the lowest one), eV/atom: 0.0357
E, eV per cell: -22.8
Mass density, g/cm3: 8.3
Density of states at the Fermi level, states/eV/f.u.: 2.0
ΔH_f (0 K), eV per atom: -0.132

2.
The following is a DFT calculation (PBE) of K3GaHg3 after structural relaxation.

abc: 4.986 6.800 16.260
angles: 84.50 81.18 68.49
Element x y z (fractional)
1 Ga 0.765 0.069 0.402
2 Hg 0.834 0.790 0.543
3 Hg 0.045 0.152 0.758
4 K 0.751 0.733 0.765
5 K 0.517 0.357 0.609
6 K 0.609 0.702 0.079
7 Hg 0.101 0.878 0.920
8 Hg 0.955 0.848 0.242
9 K 0.249 0.267 0.235
10 K 0.483 0.643 0.391
11 Ga 0.235 0.931 0.598
12 Hg 0.166 0.210 0.457
13 Hg 0.899 0.122 0.080
14 K 0.391 0.298 0.921

Volume, Å³/cell: 506.3
E, eV per cell: -17.3
Mass density, g/cm3: 5.2
Density of states at the Fermi level, states/eV/f.u.: 3.9
ΔH_f (0 K), eV per atom: -0.202

3.
The following is a DFT calculation (PBE) of KGa2Hg after structural relaxation.

abc: 4.636 4.636 6.883
angles: 70.32 70.32 60.00
Element x y z (fractional)
1 Hg 0.000 0.000 0.000
2 K 0.500 0.500 0.500
3 Ga 0.289 0.289 0.132
4 Ga 0.711 0.711 0.868

Volume, Å³/cell: 118.0
E, eV per cell: -7.6
Mass density, g/cm3: 5.3
Density of states at the Fermi level, states/eV/f.u.: 2.4
ΔH_f (0 K), eV per atom: -0.043

4.
The following is a DFT calculation (PBE) of KGaHg after structural relaxation.

abc: 5.103 5.558 6.862
angles: 113.52 90.00 90.00
Element x y z (fractional)
1 K 0.312 0.360 0.097
2 Ga 0.812 0.003 0.643
3 Ga 0.312 0.155 0.531
4 Hg 0.312 0.732 0.717
5 Hg 0.812 0.426 0.456
6 K 0.812 0.798 0.076

Volume, Å³/cell: 178.4
Polymorph energy (0 for the lowest one), eV/atom: 0.0077
E, eV per cell: -9.4
Mass density, g/cm3: 5.8
Density of states at the Fermi level, states/eV/f.u.: 0.6
ΔH_f (0 K), eV per atom: -0.095

5.
The following is a DFT calculation (PBE) of KLiGa2Hg after structural relaxation.

abc: 4.907 5.750 4.907
angles: 90.00 90.00 90.00
Element x y z (fractional)
1 Ga 0.000 0.000 0.500
2 K 0.000 0.500 0.000
3 Ga 0.500 0.000 0.000
4 Li 0.000 0.000 0.000
5 Hg 0.500 0.500 0.500

Volume, Å³/cell: 138.5
E, eV per cell: -8.5
Mass density, g/cm3: 4.6
Density of states at the Fermi level, states/eV/f.u.: 2.7
ΔH_f (0 K), eV per atom: 0.183

6.
The following is a DFT calculation (PBE) of K2MgGaHg6 after structural relaxation.

abc: 7.766 7.626 7.480
angles: 58.54 64.09 90.59
Element x y z (fractional)
1 Ga 0.000 0.000 0.000
2 K 0.313 0.748 0.412
3 Hg 0.801 0.811 0.502
4 Mg 0.500 0.500 0.000
5 Hg 0.260 0.767 0.939
6 K 0.687 0.252 0.588
7 Hg 0.819 0.699 0.982
8 Hg 0.740 0.233 0.061
9 Hg 0.181 0.301 0.018
10 Hg 0.199 0.189 0.498

Volume, Å³/cell: 323.0
E, eV per cell: -10.1
Mass density, g/cm3: 7.1
Density of states at the Fermi level, states/eV/f.u.: 4.1
ΔH_f (0 K), eV per atom: -0.142

Q: Which formula does entry 6 have?
A: K2MgGaHg6